Record 1
# NbSeOF7

A relaxed structure of NbSeOF7 (GGA-PBEsol, the Alexandria database).

Cell: 7.0188 7.8567 11.1957 Å, 90.00 90.00 90.00°
Positions (direct):
F1 0.3001 0.4954 0.1337
F2 0.3761 0.2500 0.5111
F3 0.9994 0.2500 0.7553
F4 0.3001 0.0046 0.1337
F5 0.3935 0.2500 0.7619
F6 0.8761 0.7500 0.9889
F7 0.8006 0.4103 0.0988
F8 0.1994 0.5897 0.9012
F9 0.6239 0.7500 0.4889
F10 0.6999 0.5046 0.8663
F11 0.6994 0.4103 0.5988
F12 0.3006 0.9103 0.4012
F13 0.6065 0.7500 0.2381
F14 0.8001 0.9954 0.3663
F15 0.5006 0.2500 0.2553
F16 0.1065 0.2500 0.2619
F17 0.8935 0.7500 0.7381
F18 0.1239 0.2500 0.0111
F19 0.8001 0.5046 0.3663
F20 0.1999 0.4954 0.6337
F21 0.1994 0.9103 0.9012
F22 0.0006 0.7500 0.2447
F23 0.1999 0.0046 0.6337
F24 0.4994 0.7500 0.7447
F25 0.6994 0.0897 0.5988
F26 0.3006 0.5897 0.4012
F27 0.6999 0.9954 0.8663
F28 0.8006 0.0897 0.0988
Nb1 0.2960 0.2500 0.1449
Nb2 0.7960 0.7500 0.3551
Nb3 0.2040 0.2500 0.6449
Nb4 0.7040 0.7500 0.8551
Se1 0.2562 0.7500 0.0034
Se2 0.7438 0.2500 0.9966
Se3 0.2438 0.7500 0.5034
Se4 0.7562 0.2500 0.4966
O1 0.0096 0.7500 0.4870
O2 0.4904 0.7500 0.9870
O3 0.9904 0.2500 0.5130
O4 0.5096 0.2500 0.0130

Summary:
DFT total energy (eV/atom): -5.705
Formation energy (no corrections) (kcal/mol of atoms): -54.511
Space-group type: Pnma (62)



Record 2
# TaNiIr2

A relaxed structure of TaNiIr2 (GGA-PBEsol, the Alexandria database).

Cell: 2.7533 4.6174 4.7024 Å, 99.51 90.00 107.35°
Positions (direct):
Ta1 0.0000 0.0000 0.5000
Ir1 0.7523 0.5045 0.7645
Ir2 0.2477 0.4955 0.2355
Ni1 0.5000 0.0000 0.0000

Summary:
E_form (eV per formula unit): -1.26
DFT total energy (eV/atom): -9.903
Space-group type: C2/m (12)



Record 3
# CaZrGeO5

A relaxed structure of CaZrGeO5 (GGA-PBEsol, the Alexandria database).

Cell: 5.5569 5.7829 7.4529 Å, 104.45 101.65 107.48°
Positions (direct):
O1 0.8976 0.7443 0.0531
O2 0.2149 0.1264 0.3947
O3 0.3951 0.5677 0.7488
O4 0.8103 0.3910 0.6238
O5 0.6049 0.4323 0.2512
O6 0.4296 0.8385 0.1266
O7 0.1024 0.2557 0.9469
O8 0.5704 0.1615 0.8734
O9 0.7851 0.8736 0.6053
O10 0.1897 0.6090 0.3762
Zr1 0.5000 0.5000 0.5000
Zr2 0.5000 0.5000 0.0000
Ca1 0.1529 0.8177 0.7967
Ca2 0.8472 0.1823 0.2033
Ge1 0.1854 0.8251 0.2490
Ge2 0.8146 0.1749 0.7510

Summary:
DFT total energy (eV/atom): -8.071
Formation energy (no corrections) (kcal/mol of atoms): -63.885
Space-group type: P-1 (2)



Which value of DFT total energy does entry 3 give? -8.071 eV/atom